! NaCoIO2, optimized geometry, DFT PBE with a Hubbard U; values from VASP
&SYSTEM
  ibrav = 0, nat = 5, ntyp = 4
/
ATOMIC_SPECIES
I 126.90 I.upf
Na 22.99 Na.upf
Co 58.93 Co.upf
O 16.00 O.upf
CELL_PARAMETERS angstrom
-1.589 1.252 -3.651
2.661 -2.506 -2.017
-3.997 -4.424 0.223
ATOMIC_POSITIONS crystal
I 0.000 0.000 0.500
Na 0.000 0.000 0.000
Co 0.500 0.500 0.500
O 0.000 0.500 0.000
O 0.500 0.000 0.000
! ΔE to the lowest computed polymorph (kJ/mol of formula units): 542.0
! E (eV/atom): -2.8887